No. 1
Compound: Cd6AgPt
Source: Alexandria
Functional: PBE-GGA
Structure: relaxed

Calculated values
* DFT formation energy: -0.0914 eV/atom
* SG: C2/m

Structure (POSCAR):
```
Cd6AgPt
1.0
4.238 -0.020 1.266
-0.405 4.219 1.267
-0.365 -0.400 8.824
Pt Cd Ag
1 6 1
Cartesian
0.000 0.000 0.000
0.781 0.855 5.026
3.521 1.523 3.621
2.271 0.154 7.736
1.197 3.644 3.622
-0.052 2.275 7.736
2.688 2.943 6.332
1.917 2.099 1.266
```


No. 2
Compound: Si2SbRu
Source: Alexandria
Functional: PBE-GGA
Structure: relaxed

Calculated values
* formation energy (no corrections): 5.9 kJ/mol of formula units
* SG: Cm

Structure (POSCAR):
```
Si2SbRu
1.0
-1.432 -3.476 2.023
1.622 -2.967 2.606
-1.376 1.573 5.826
Ru Si Sb
1 2 1
Cartesian
-0.692 -2.297 5.625
-1.051 -4.902 9.777
-0.864 -3.642 7.695
-0.359 -1.333 3.041
```


No. 3
Compound: CsHgBiPb2
Source: Alexandria
Functional: PBE-GGA
Structure: relaxed

Calculated values
* DFT formation energy: -0.1562 eV/atom
* SG: P2_1/m

Structure (POSCAR):
```
CsHgBiPb2
1.0
-2.229 -1.291 -5.668
-5.015 -2.258 2.486
-1.678 10.232 -1.671
Bi Cs Hg Pb
2 2 2 4
Cartesian
-2.006 6.810 -2.472
-6.916 -0.127 -2.380
-5.827 8.141 -1.273
-3.095 -1.458 -3.579
-6.364 5.336 -3.842
-2.558 1.347 -1.010
-3.973 4.397 -1.149
-3.276 5.024 -4.985
-5.646 1.659 0.133
-4.949 2.286 -3.703
```


no.,D(E_F) (states/eV/atom)
1,0.23
2,0.49
3,0.36